(1)
NdEuDyY | GGA-PBE | relaxed

abc: 5.8036 5.8036 5.8036
angles: 60.00 60.00 60.00
With the nearest neighbours (Å) after each atom.
Element x y z (fractional)
Nd: 0.0000 0.0000 0.0000  4 Dy 3.55, 4 Y 3.55
Eu: 0.5000 0.5000 0.5000  4 Dy 3.55, 4 Y 3.55
Dy: 0.2500 0.2500 0.2500  4 Nd 3.55, 4 Eu 3.55
Y: 0.7500 0.7500 0.7500  4 Nd 3.55, 4 Eu 3.55

Calculated values
final energy	-6.380	eV/atom
space group	F-43m, No. 216
magnetic moment	7.161	μB/cell
formation enthalpy at 0 K	147	meV per atom



(2)
EuDyNi4 | GGA-PBE | relaxed

abc: 5.1057 5.1057 5.1057
angles: 60.00 60.00 60.00
With the nearest neighbours (Å) after each atom.
Element x y z (fractional)
Eu: 0.0000 0.0000 0.0000  12 Ni 2.99, 4 Dy 3.13
Dy: 0.7500 0.7500 0.7500  12 Ni 2.99, 4 Eu 3.13
Ni: 0.3753 0.3753 0.3753  6 Ni 2.55-2.56
Ni: 0.3753 0.3753 0.8742  6 Ni 2.55-2.56
Ni: 0.3753 0.8742 0.3753  6 Ni 2.55-2.56
Ni: 0.8742 0.3753 0.3753  6 Ni 2.55-2.56

Calculated values
final energy	-6.642	eV/atom
space group	F-43m, No. 216
magnetic moment	6.607	μB/cell
formation enthalpy at 0 K	-308	meV per atom



(3)
EuDyNi2 | GGA-PBE | relaxed

abc: 4.8381 4.8381 4.8381
angles: 60.00 60.00 60.00
With the nearest neighbours (Å) after each atom.
Element x y z (fractional)
Eu: 0.0000 0.0000 0.0000  8 Ni 2.96
Dy: 0.5000 0.5000 0.5000  8 Ni 2.96
Ni: 0.2500 0.2500 0.2500  4 Dy 2.96, 4 Eu 2.96
Ni: 0.7500 0.7500 0.7500  4 Dy 2.96, 4 Eu 2.96

Calculated values
final energy	-6.798	eV/atom
space group	Fm-3m, No. 225
magnetic moment	7.109	μB/cell
energy relative to the lowest polymorph listed for this composition	51	meV/atom
formation enthalpy at 0 K	-188	meV per atom



(4)
EuDyNi2 | GGA-PBE | relaxed

abc: 3.4240 3.4240 6.9335
angles: 90.00 90.00 90.00
With the nearest neighbours (Å) after each atom.
Element x y z (fractional)
Eu: 0.0000 0.0000 0.0000  8 Ni 3.12, 4 Eu 3.42, 2 Dy 3.47
Dy: 0.0000 0.0000 0.5000  8 Ni 2.84
Ni: 0.5000 0.5000 0.2847  4 Dy 2.84, 1 Ni 2.99, 4 Eu 3.12
Ni: 0.5000 0.5000 0.7153  4 Dy 2.84, 1 Ni 2.99, 4 Eu 3.12

Calculated values
final energy	-6.849	eV/atom
space group	P4/mmm, No. 123
magnetic moment	7.102	μB/cell
energy relative to the lowest polymorph listed for this composition	0	meV/atom
formation enthalpy at 0 K	-239	meV per atom



(5)
EuDyNiPd | GGA-PBE | relaxed

abc: 4.9509 4.9509 4.9509
angles: 60.00 60.00 60.00
With the nearest neighbours (Å) after each atom.
Element x y z (fractional)
Eu: 0.0000 0.0000 0.0000  4 Ni 3.03, 4 Pd 3.03
Dy: 0.5000 0.5000 0.5000  4 Ni 3.03, 4 Pd 3.03
Ni: 0.7500 0.7500 0.7500  4 Eu 3.03, 4 Dy 3.03
Pd: 0.2500 0.2500 0.2500  4 Dy 3.03, 4 Eu 3.03

Calculated values
final energy	-6.915	eV/atom
space group	F-43m, No. 216
magnetic moment	7.101	μB/cell
formation enthalpy at 0 K	-452	meV per atom



(6)
EuDyNiPt | GGA-PBE | relaxed

abc: 4.9343 4.9343 4.9343
angles: 60.00 60.00 60.00
With the nearest neighbours (Å) after each atom.
Element x y z (fractional)
Eu: 0.0000 0.0000 0.0000  4 Pt 3.02, 4 Ni 3.02
Dy: 0.5000 0.5000 0.5000  4 Ni 3.02, 4 Pt 3.02
Ni: 0.2500 0.2500 0.2500  4 Dy 3.02, 4 Eu 3.02
Pt: 0.7500 0.7500 0.7500  4 Dy 3.02, 4 Eu 3.02

Calculated values
final energy	-7.296	eV/atom
space group	F-43m, No. 216
magnetic moment	7.036	μB/cell
formation enthalpy at 0 K	-621	meV per atom



(7)
EuDyZnNi | GGA-PBE | relaxed

abc: 4.9986 4.9986 4.9986
angles: 60.00 60.00 60.00
With the nearest neighbours (Å) after each atom.
Element x y z (fractional)
Eu: 0.0000 0.0000 0.0000  4 Ni 3.06, 4 Zn 3.06
Dy: 0.5000 0.5000 0.5000  4 Ni 3.06, 4 Zn 3.06
Zn: 0.2500 0.2500 0.2500  4 Dy 3.06, 4 Eu 3.06
Ni: 0.7500 0.7500 0.7500  4 Dy 3.06, 4 Eu 3.06

Calculated values
final energy	-5.688	eV/atom
space group	F-43m, No. 216
magnetic moment	6.937	μB/cell
formation enthalpy at 0 K	-205	meV per atom



(8)
EuDy3O | GGA-PBE | relaxed

abc: 4.9857 4.9857 4.9857
angles: 90.00 90.00 90.00
With the nearest neighbours (Å) after each atom.
Element x y z (fractional)
Eu: 0.0000 0.0000 0.0000  12 Dy 3.53
Dy: 0.0000 0.5000 0.5000  2 O 2.49
Dy: 0.5000 0.0000 0.5000  2 O 2.49
Dy: 0.5000 0.5000 0.0000  2 O 2.49
O: 0.5000 0.5000 0.5000  6 Dy 2.49

Calculated values
final energy	-6.803	eV/atom
space group	Pm-3m, No. 221
magnetic moment	7.534	μB/cell
energy relative to the elements, uncorrected	-0.995	eV/atom